Density functional theory data (SCAN) for a crystal of BMo2PPt relaxed with PBEsol.

Unit cell a=4.5191 b=4.5191 c=3.5172 alpha=90.00 beta=90.00 gamma=90.00
With the nearest neighbours (Å) after each atom.
Space group P4/mmm (No. 123)
Asymmetric unit:
1 B 0.0000 0.0000 0.0000 x1  2 P 1.76
2 Mo 0.0000 0.5000 0.5000 x2  2 P 2.26
3 P 0.0000 0.0000 0.5000 x1  2 B 1.76
4 Pt 0.5000 0.5000 0.0000 x1  8 Mo 2.86, 4 B 3.20

## Properties
VASP energy   -153.3 eV per formula unit
Magnetization   0.000 Bohr magnetons per cell

***

Density functional theory data (SCAN) for a crystal of BMoPW2 relaxed with PBEsol.

Unit cell a=4.7438 b=4.7438 c=3.8863 alpha=90.00 beta=90.00 gamma=90.00
With the nearest neighbours (Å) after each atom.
Space group P4/mmm (No. 123)
Asymmetric unit:
1 B 0.0000 0.0000 0.0000 x1  2 Mo 1.94
2 Mo 0.0000 0.0000 0.5000 x1  2 B 1.94
3 P 0.5000 0.5000 0.0000 x1  8 W 3.07, 4 B 3.35
4 W 0.0000 0.5000 0.5000 x2  2 Mo 2.37

## Properties
VASP energy   -181.2 eV per formula unit
Magnetization   0.000 Bohr magnetons per cell

***

Density functional theory data (SCAN) for a crystal of B3MoPb relaxed with PBEsol.

Unit cell a=4.2500 b=4.2500 c=4.2500 alpha=90.00 beta=90.00 gamma=90.00
With the nearest neighbours (Å) after each atom.
Space group Pm-3m (No. 221)
Asymmetric unit:
1 B 0.0000 0.0000 0.5000 x3  2 Mo 2.12
2 Mo 0.0000 0.0000 0.0000 x1  6 B 2.12
3 Pb 0.5000 0.5000 0.5000 x1  12 B 3.01

## Properties
VASP energy   -127.1 eV per formula unit
Magnetization   0.000 Bohr magnetons per cell